[1]
First-principles (PBE) data for a relaxed structure of BaMgHg3, as listed in the Alexandria database.

Computed properties:
The energy is -2.70 eV for the cell shown. Its formation energy is 1.719 eV/f.u. Its polymorph energy (0 for the lowest one) is 702 meV/atom. The magnetic moment comes out at 0.000 μB per cell.

a b c (Å): 6.5216 6.5216 6.5216
angles (deg): 90.00 90.00 90.00
Space group Pm-3m (No. 221)
Unique sites:
Ba: 0.0000 0.0000 0.0000 [1 per cell]
Mg: 0.5000 0.5000 0.5000 [1 per cell]
Hg: 0.0000 0.0000 0.5000 [3 per cell]



[2]
First-principles (PBE) data for a relaxed structure of KZrTl, as listed in the Alexandria database.

Computed properties:
The energy is -23.19 eV for the cell shown. Its formation energy is 0.415 eV/f.u. Its polymorph energy (0 for the lowest one) is 115 meV/atom. The magnetic moment comes out at 0.000 μB per cell.

a b c (Å): 3.5050 3.5069 17.4525
angles (deg): 88.07 88.81 60.05
Space group P-1 (No. 2)
Unique sites:
K: 0.1760 0.2253 0.1174 [2 per cell]
Zr: 0.1650 0.1566 0.5669 [2 per cell]
Tl: 0.4947 0.4676 0.7118 [2 per cell]



[3]
First-principles (PBE) data for a relaxed structure of ZrHI2, as listed in the Alexandria database.

Computed properties:
The energy is -57.66 eV for the cell shown. The magnetic moment comes out at 4.000 μB per cell.

a b c (Å): 7.1687 7.1687 7.1687
angles (deg): 90.00 90.00 90.00
Space group Fm-3m (No. 225)
Unique sites:
Zr: 0.0000 0.0000 0.0000 [4 per cell]
H: 0.0000 0.0000 0.5000 [4 per cell]
I: 0.2500 0.2500 0.2500 [8 per cell]